1.
DFT (PBE-GGA) results for an optimized crystal structure of Y2PaCd.

- Total DFT energy (no corrections): -5.89 eV per atom
- Formation enthalpy at 0 K: -0.06 eV per atom
- Spin magnetization: 0.051 μB per atom
- SG: No. 123
- Relative energy among the computed polymorphs: 0 meV per atom

Cell lengths 3.4404, 3.4404, 9.1793 Å; angles 90.00, 90.00, 90.00 degrees
Last column: magnetic moment on the atom in μB.
Sites, in units of the cell vectors:
Pa 0.5000 0.5000 0.5000  0.18
Y 0.0000 0.0000 0.2391  0.00
Y 0.0000 0.0000 0.7609  0.00
Cd 0.5000 0.5000 0.0000  0.00

***

2.
DFT (PBE-GGA) results for an optimized crystal structure of YPaCd.

- Total DFT energy (no corrections): -5.68 eV per atom
- Formation enthalpy at 0 K: -0.06 eV per atom
- Spin magnetization: 0.000 μB per atom
- SG: No. 63

Cell lengths 3.2887, 5.3161, 9.0959 Å; angles 90.00, 100.42, 90.00 degrees
Sites, in units of the cell vectors:
Y 0.9052 0.7500 0.8104
Y 0.0948 0.2500 0.1896
Cd 0.4388 0.2500 0.8777
Cd 0.5612 0.7500 0.1223
Pa 0.7691 0.2500 0.5382
Pa 0.2309 0.7500 0.4618

***

3.
DFT (PBE-GGA) results for an optimized crystal structure of Y2PaCd.

- Total DFT energy (no corrections): -5.59 eV per atom
- Formation enthalpy at 0 K: 0.24 eV per atom
- Spin magnetization: 0.000 μB per atom
- SG: No. 166
- Relative energy among the computed polymorphs: 301 meV per atom

Cell lengths 3.2847, 3.2847, 12.0159 Å; angles 82.14, 82.14, 60.00 degrees
Sites, in units of the cell vectors:
Pa 0.0000 0.0000 0.0000
Y 0.9089 0.9089 0.2733
Y 0.0911 0.0911 0.7267
Cd 0.5000 0.5000 0.5000

***

4.
DFT (PBE-GGA) results for an optimized crystal structure of PaZn9Cd2.

- Total DFT energy (no corrections): -1.89 eV per atom
- Formation enthalpy at 0 K: 0.01 eV per atom
- Spin magnetization: 0.068 μB per atom
- SG: No. 166

Cell lengths 5.3309, 5.3309, 8.9987 Å; angles 72.77, 72.77, 60.00 degrees
Last column: magnetic moment on the atom in μB.
Sites, in units of the cell vectors:
Zn 0.9193 0.4136 0.2535  0.00
Zn 0.0807 0.5864 0.7465  0.00
Zn 0.4136 0.4136 0.2535  0.00
Zn 0.5000 0.5000 0.5000  0.00
Zn 0.5864 0.0807 0.7465  0.00
Zn 0.5864 0.5864 0.7465  0.00
Zn 0.3329 0.3329 0.0013  0.01
Zn 0.6671 0.6671 0.9987  0.01
Zn 0.4136 0.9193 0.2535  0.00
Cd 0.8628 0.8628 0.4115  0.00
Cd 0.1372 0.1372 0.5885  0.00
Pa 0.0000 0.0000 0.0000  0.74

***

5.
DFT (PBE-GGA) results for an optimized crystal structure of PaZn2Cd.

- Total DFT energy (no corrections): -3.21 eV per atom
- Formation enthalpy at 0 K: 0.02 eV per atom
- Spin magnetization: 0.119 μB per atom
- SG: No. 123
- Relative energy among the computed polymorphs: 4 meV per atom

Cell lengths 3.0895, 3.0895, 8.2390 Å; angles 90.00, 90.00, 90.00 degrees
Last column: magnetic moment on the atom in μB.
Sites, in units of the cell vectors:
Pa 0.5000 0.5000 0.5000  0.41
Zn 0.0000 0.0000 0.7670  0.00
Zn 0.0000 0.0000 0.2330  0.00
Cd 0.5000 0.5000 0.0000  0.00

***

6.
DFT (PBE-GGA) results for an optimized crystal structure of Pa2Zn6Cd.

- Total DFT energy (no corrections): -3.09 eV per atom
- Formation enthalpy at 0 K: -0.03 eV per atom
- Spin magnetization: 0.323 μB per atom
- SG: No. 191

Cell lengths 2.9943, 8.1279, 8.1279 Å; angles 60.00, 89.99, 89.99 degrees
Last column: magnetic moment on the atom in μB.
Sites, in units of the cell vectors:
Zn 0.4997 0.6749 0.0000  0.02
Zn 0.5000 0.3252 0.6748  0.02
Zn 0.4997 0.0000 0.6749  0.02
Zn 0.5003 0.0000 0.3251  0.02
Zn 0.5000 0.6748 0.3252  0.02
Zn 0.5003 0.3251 0.0000  0.02
Pa 0.0000 0.6667 0.6667  1.16
Pa 0.0000 0.3333 0.3333  1.16
Cd 0.0000 0.0000 0.0000  0.00

***

7.
DFT (PBE-GGA) results for an optimized crystal structure of Pa2Zn16Cd.

- Total DFT energy (no corrections): -2.22 eV per atom
- Formation enthalpy at 0 K: -0.10 eV per atom
- Spin magnetization: 0.006 μB per atom
- SG: No. 160

Cell lengths 6.8339, 6.8339, 6.8339 Å; angles 82.77, 82.77, 82.77 degrees
Last column: magnetic moment on the atom in μB.
Sites, in units of the cell vectors:
Zn 0.0033 0.4924 0.0033  0.00
Zn 0.6440 0.1631 0.6440  0.00
Zn 0.0033 0.0033 0.4924  0.00
Zn 0.1631 0.6440 0.6440  0.00
Zn 0.4924 0.0033 0.0033  0.00
Zn 0.3532 0.3532 0.8379  0.00
Zn 0.1086 0.1086 0.1086  0.00
Zn 0.3532 0.8379 0.3532  0.00
Zn 0.6440 0.6440 0.1631  0.00
Zn 0.9996 0.3003 0.6996  0.00
Zn 0.3003 0.9996 0.6996  0.00
Zn 0.6996 0.9996 0.3003  0.00
Zn 0.9996 0.6996 0.3003  0.00
Zn 0.8379 0.3532 0.3532  0.00
Zn 0.6996 0.3003 0.9996  0.00
Zn 0.3003 0.6996 0.9996  0.00
Cd 0.9013 0.9013 0.9013  0.00
Pa 0.6570 0.6570 0.6570  0.45
Pa 0.3395 0.3395 0.3395  -0.34

***

8.
DFT (PBE-GGA) results for an optimized crystal structure of PaZn3Cd.

- Total DFT energy (no corrections): -2.86 eV per atom
- Formation enthalpy at 0 K: -0.01 eV per atom
- Spin magnetization: 0.087 μB per atom
- SG: No. 63

Cell lengths 4.5879, 3.0479, 13.8995 Å; angles 96.29, 90.00, 90.00 degrees
Last column: magnetic moment on the atom in μB.
Sites, in units of the cell vectors:
Zn 0.7500 0.3276 0.6552  0.00
Zn 0.2500 0.4755 0.9509  0.01
Zn 0.2500 0.6724 0.3448  0.00
Zn 0.7500 0.6256 0.2513  0.00
Zn 0.2500 0.3744 0.7487  0.00
Zn 0.7500 0.5245 0.0491  0.01
Pa 0.7500 0.9271 0.8543  0.37
Pa 0.2500 0.0729 0.1457  0.37
Cd 0.2500 0.7802 0.5603  0.00
Cd 0.7500 0.2198 0.4397  0.00

***

9.
DFT (PBE-GGA) results for an optimized crystal structure of PaZn2Cd.

- Total DFT energy (no corrections): -3.22 eV per atom
- Formation enthalpy at 0 K: 0.02 eV per atom
- Spin magnetization: 0.000 μB per atom
- SG: No. 225
- Relative energy among the computed polymorphs: 0 meV per atom

Cell lengths 4.8490, 4.8490, 4.8490 Å; angles 60.00, 60.00, 60.00 degrees
Sites, in units of the cell vectors:
Pa 0.0000 0.0000 0.0000
Zn 0.7500 0.7500 0.7500
Zn 0.2500 0.2500 0.2500
Cd 0.5000 0.5000 0.5000

***

10.
DFT (PBE-GGA) results for an optimized crystal structure of ZrPa2Cd.

- Total DFT energy (no corrections): -7.02 eV per atom
- Formation enthalpy at 0 K: 0.10 eV per atom
- Spin magnetization: 0.000 μB per atom
- SG: No. 123
- Relative energy among the computed polymorphs: 0 meV per atom

Cell lengths 5.0120, 4.3588, 4.3588 Å; angles 90.00, 90.00, 90.00 degrees
Sites, in units of the cell vectors:
Pa 0.0000 0.5000 0.0000
Pa 0.0000 0.0000 0.5000
Zr 0.5000 0.0000 0.0000
Cd 0.5000 0.5000 0.5000

***

11.
DFT (PBE-GGA) results for an optimized crystal structure of Zr2PaCd.

- Total DFT energy (no corrections): -6.85 eV per atom
- Formation enthalpy at 0 K: 0.02 eV per atom
- Spin magnetization: 0.000 μB per atom
- SG: No. 123
- Relative energy among the computed polymorphs: 45 meV per atom

Cell lengths 3.6318, 3.6318, 6.8939 Å; angles 90.00, 90.00, 90.00 degrees
Sites, in units of the cell vectors:
Cd 0.5000 0.5000 0.0000
Pa 0.5000 0.5000 0.5000
Zr 0.0000 0.0000 0.2587
Zr 0.0000 0.0000 0.7413

***

12.
DFT (PBE-GGA) results for an optimized crystal structure of Zr3PaCd.

- Total DFT energy (no corrections): -7.25 eV per atom
- Formation enthalpy at 0 K: -0.04 eV per atom
- Spin magnetization: 0.000 μB per atom
- SG: No. 2

Cell lengths 3.2806, 7.7336, 11.4675 Å; angles 110.80, 81.75, 64.97 degrees
Sites, in units of the cell vectors:
Zr 0.2837 0.5226 0.3865
Zr 0.2775 0.3263 0.7916
Zr 0.7163 0.4774 0.6135
Zr 0.7175 0.8744 0.8170
Zr 0.2825 0.1256 0.1830
Zr 0.7225 0.6737 0.2084
Pa 0.2733 0.9338 0.5839
Pa 0.7267 0.0662 0.4161
Cd 0.7110 0.2827 0.0125
Cd 0.2890 0.7173 0.9875

***

13.
DFT (PBE-GGA) results for an optimized crystal structure of Zr2PaCd.

- Total DFT energy (no corrections): -6.89 eV per atom
- Formation enthalpy at 0 K: -0.01 eV per atom
- Spin magnetization: 0.000 μB per atom
- SG: No. 160
- Relative energy among the computed polymorphs: 10 meV per atom

Cell lengths 3.2027, 3.2027, 10.7153 Å; angles 81.41, 81.41, 60.00 degrees
Sites, in units of the cell vectors:
Zr 0.2516 0.2516 0.2452
Zr 0.0819 0.0819 0.7544
Pa 0.4998 0.4998 0.5006
Cd 0.6667 0.6667 0.9999

***

14.
DFT (PBE-GGA) results for an optimized crystal structure of Zr2PaCd.

- Total DFT energy (no corrections): -6.73 eV per atom
- Formation enthalpy at 0 K: 0.15 eV per atom
- Spin magnetization: 0.000 μB per atom
- SG: No. 225
- Relative energy among the computed polymorphs: 172 meV per atom

Cell lengths 5.0479, 5.0479, 5.0479 Å; angles 60.00, 60.00, 60.00 degrees
Sites, in units of the cell vectors:
Pa 0.0000 0.0000 0.0000
Cd 0.5000 0.5000 0.5000
Zr 0.7500 0.7500 0.7500
Zr 0.2500 0.2500 0.2500

***

15.
DFT (PBE-GGA) results for an optimized crystal structure of Zr2PaCd.

- Total DFT energy (no corrections): -6.82 eV per atom
- Formation enthalpy at 0 K: 0.06 eV per atom
- Spin magnetization: 0.000 μB per atom
- SG: No. 166
- Relative energy among the computed polymorphs: 82 meV per atom

Cell lengths 3.2797, 3.2797, 10.4525 Å; angles 80.97, 80.97, 60.00 degrees
Sites, in units of the cell vectors:
Zr 0.2489 0.2489 0.2533
Zr 0.7511 0.7511 0.7467
Cd 0.5000 0.5000 0.5000
Pa 0.0000 0.0000 0.0000

***

16.
DFT (PBE-GGA) results for an optimized crystal structure of ZrPa2Cd.

- Total DFT energy (no corrections): -6.87 eV per atom
- Formation enthalpy at 0 K: 0.24 eV per atom
- Spin magnetization: 0.000 μB per atom
- SG: No. 166
- Relative energy among the computed polymorphs: 145 meV per atom

Cell lengths 3.1276, 3.1276, 12.2422 Å; angles 82.66, 82.66, 60.00 degrees
Sites, in units of the cell vectors:
Cd 0.0000 0.0000 0.0000
Pa 0.9095 0.9095 0.2716
Pa 0.0905 0.0905 0.7284
Zr 0.5000 0.5000 0.5000

***

17.
DFT (PBE-GGA) results for an optimized crystal structure of Zr2PaCd.

- Total DFT energy (no corrections): -6.84 eV per atom
- Formation enthalpy at 0 K: 0.03 eV per atom
- Spin magnetization: 0.000 μB per atom
- SG: No. 123
- Relative energy among the computed polymorphs: 56 meV per atom

Cell lengths 4.0359, 4.7614, 4.7614 Å; angles 90.00, 90.00, 90.00 degrees
Sites, in units of the cell vectors:
Zr 0.0000 0.5000 0.0000
Zr 0.0000 0.0000 0.5000
Cd 0.5000 0.5000 0.5000
Pa 0.5000 0.0000 0.0000

***

18.
DFT (PBE-GGA) results for an optimized crystal structure of Zr2PaCd.

- Total DFT energy (no corrections): -6.90 eV per atom
- Formation enthalpy at 0 K: -0.02 eV per atom
- Spin magnetization: 0.000 μB per atom
- SG: No. 123
- Relative energy among the computed polymorphs: 0 meV per atom

Cell lengths 3.0529, 3.0529, 9.8421 Å; angles 90.00, 90.00, 89.96 degrees
Sites, in units of the cell vectors:
Cd 0.5000 0.5000 0.0000
Zr 0.0000 0.0000 0.2413
Zr 0.0000 0.0000 0.7587
Pa 0.5000 0.5000 0.5000

***

19.
DFT (PBE-GGA) results for an optimized crystal structure of Zr4PaCd.

- Total DFT energy (no corrections): -7.30 eV per atom
- Formation enthalpy at 0 K: 0.13 eV per atom
- Spin magnetization: 0.000 μB per atom
- SG: No. 47

Cell lengths 3.1396, 5.3589, 8.4940 Å; angles 90.00, 90.03, 90.00 degrees
Sites, in units of the cell vectors:
Zr 0.5015 0.9973 0.8116
Zr 0.0011 0.4973 0.6797
Zr 0.0016 0.4973 0.3166
Zr 0.5010 0.9973 0.1847
Cd 0.5013 0.4973 0.9981
Pa 0.0013 0.9973 0.4981

***

20.
DFT (PBE-GGA) results for an optimized crystal structure of CdPb3.

- Total DFT energy (no corrections): -2.99 eV per atom
- Formation enthalpy at 0 K: 0.02 eV per atom
- Spin magnetization: 0.000 μB per atom
- SG: No. 47

Cell lengths 3.5241, 4.8052, 7.0028 Å; angles 90.00, 90.00, 90.00 degrees
Sites, in units of the cell vectors:
Cd 0.0000 0.0000 0.0000
Pb 0.5000 0.5000 0.2372
Pb 0.5000 0.5000 0.7628
Pb 0.0000 0.0000 0.5000